The following is a GGA-PBE calculation of crystalline CsCaCuCl4 at its relaxed geometry, from the Alexandria database.

Computed properties:
Uncorrected formation energy in eV/atom: -1.71

a b c (Å): 6.4686 7.0722 9.3308
angles (deg): 90.00 109.22 90.00
Space group P2_1/m (No. 11)
Asymmetric unit:
Cs 0.1950 0.2500 0.4420 [2 per cell]
Ca 0.3318 0.7500 0.0503 [2 per cell]
Cu 0.1107 0.2500 0.8270 [2 per cell]
Cl 0.1075 0.2500 0.0739 [2 per cell]
Cl 0.2455 0.7500 0.3321 [2 per cell]
Cl 0.3317 0.5044 0.8035 [4 per cell]



The following is a GGA-PBE calculation of crystalline CrTc2OsPb at its relaxed geometry, from the Alexandria database.

Computed properties:
Energy of formation in meV/atom: 3080.3

a b c (Å): 4.8488 4.8488 4.6684
angles (deg): 90.00 90.00 90.00
Space group P4/mmm (No. 123)
Asymmetric unit:
Cr 0.0000 0.0000 0.0000 [1 per cell]
Tc 0.0000 0.5000 0.5000 [2 per cell]
Os 0.5000 0.5000 0.0000 [1 per cell]
Pb 0.0000 0.0000 0.5000 [1 per cell]



The following is a GGA-PBE calculation of crystalline ZnCuBr3 at its relaxed geometry, from the Alexandria database.

Computed properties:
Uncorrected formation energy in eV/atom: -0.01
Offset from the most stable computed form in meV/atom: 591.5

a b c (Å): 5.1564 5.1564 5.1564
angles (deg): 90.00 90.00 90.00
Space group Pm-3m (No. 221)
Asymmetric unit:
Zn 0.0000 0.0000 0.0000 [1 per cell]
Cu 0.5000 0.5000 0.5000 [1 per cell]
Br 0.0000 0.0000 0.5000 [3 per cell]



The following is a GGA-PBE calculation of crystalline La3In2H at its relaxed geometry, from the Alexandria database.

Computed properties:
DFT total energy in eV/atom: -4.33

a b c (Å): 14.8690 6.6685 6.7568
angles (deg): 90.00 100.28 90.00
Space group C2/c (No. 15)
Asymmetric unit:
La 0.0000 0.0772 0.2500 [4 per cell]
La 0.1308 0.3925 0.5919 [8 per cell]
In 0.1806 0.1148 0.0588 [8 per cell]
H 0.0000 0.4447 0.2500 [4 per cell]



The following is a GGA-PBE calculation of crystalline Li3Tl3Hg8 at its relaxed geometry, from the Alexandria database.

Computed properties:
Energy of formation in meV/atom: -122.8

a b c (Å): 14.0964 11.8550 4.4354
angles (deg): 90.00 106.44 90.00
Space group C2/m (No. 12)
Asymmetric unit:
Li 0.0000 0.0000 0.0000 [2 per cell]
Li 0.0000 0.2006 0.5000 [4 per cell]
Tl 0.0000 0.5000 0.0000 [2 per cell]
Tl 0.1894 0.0000 0.6764 [4 per cell]
Hg 0.1269 0.1950 0.1154 [8 per cell]
Hg 0.1505 0.3707 0.6394 [8 per cell]



The following is a GGA-PBE calculation of crystalline TaNb2Se5 at its relaxed geometry, from the Alexandria database.

Computed properties:
Uncorrected formation energy in eV/atom: -0.56

a b c (Å): 5.0554 12.1217 11.4673
angles (deg): 90.00 90.00 90.00
Space group Cmcm (No. 63)
Asymmetric unit:
Ta 0.0000 0.2394 0.2500 [4 per cell]
Nb 0.0000 0.1467 0.6091 [8 per cell]
Se 0.0000 0.0613 0.1135 [8 per cell]
Se 0.0000 0.3156 0.7500 [4 per cell]
Se 0.0000 0.3329 0.0460 [8 per cell]



The following is a GGA-PBE calculation of crystalline Hf6AgSb3 at its relaxed geometry, from the Alexandria database.

Computed properties:
Uncorrected formation energy in eV/atom: -0.16

a b c (Å): 9.3194 14.0202 7.1697
angles (deg): 90.00 90.00 90.00
Space group Cmc2_1 (No. 36)
Asymmetric unit:
Hf 0.0000 0.0471 0.0000 [4 per cell]
Hf 0.0000 0.2605 0.2401 [4 per cell]
Hf 0.1842 0.4335 0.1766 [8 per cell]
Hf 0.2295 0.2127 0.9760 [8 per cell]
Ag 0.0000 0.1750 0.6749 [4 per cell]
Sb 0.0000 0.4114 0.5210 [4 per cell]
Sb 0.1923 0.1026 0.3220 [8 per cell]



The following is a GGA-PBE calculation of crystalline Dy12Tm3Pu at its relaxed geometry, from the Alexandria database.

Computed properties:
Energy of formation in meV/atom: 41.1

a b c (Å): 4.9824 4.9824 19.9129
angles (deg): 90.00 90.00 90.00
Space group P4/mmm (No. 123)
Asymmetric unit:
Dy 0.0000 0.0000 0.0000 [1 per cell]
Dy 0.0000 0.0000 0.2498 [2 per cell]
Dy 0.0000 0.0000 0.5000 [1 per cell]
Dy 0.0000 0.5000 0.1226 [4 per cell]
Dy 0.0000 0.5000 0.3742 [4 per cell]
Tm 0.5000 0.5000 0.2488 [2 per cell]
Tm 0.5000 0.5000 0.5000 [1 per cell]
Pu 0.5000 0.5000 0.0000 [1 per cell]



The following is a GGA-PBE calculation of crystalline RhN2Cl at its relaxed geometry, from the Alexandria database.

Computed properties:
Uncorrected formation energy in eV/atom: 2.24
Offset from the most stable computed form in meV/atom: 1328.3

a b c (Å): 5.5497 5.5497 5.5497
angles (deg): 90.00 90.00 90.00
Space group Fm-3m (No. 225)
Asymmetric unit:
Rh 0.0000 0.0000 0.0000 [4 per cell]
N 0.2500 0.2500 0.2500 [8 per cell]
Cl 0.0000 0.0000 0.5000 [4 per cell]



The following is a GGA-PBE calculation of crystalline YCd2Ag at its relaxed geometry, from the Alexandria database.

Computed properties:
Energy of formation in meV/atom: -50.9

a b c (Å): 6.0974 10.3573 3.1549
angles (deg): 90.00 108.69 90.00
Space group C2/m (No. 12)
Asymmetric unit:
Y 0.0000 0.0000 0.0000 [2 per cell]
Cd 0.2500 0.2500 0.5000 [4 per cell]
Ag 0.0000 0.5000 0.0000 [2 per cell]



The following is a GGA-PBE calculation of crystalline NaSrInGe at its relaxed geometry, from the Alexandria database.

Computed properties:
Energy of formation in meV/atom: -224.2

a b c (Å): 7.6464 7.6464 7.6464
angles (deg): 90.00 90.00 90.00
Space group F-43m (No. 216)
Asymmetric unit:
Na 0.0000 0.0000 0.0000 [4 per cell]
Sr 0.0000 0.0000 0.5000 [4 per cell]
In 0.2500 0.2500 0.2500 [4 per cell]
Ge 0.2500 0.2500 0.7500 [4 per cell]



The following is a GGA-PBE calculation of crystalline Nb2CuP at its relaxed geometry, from the Alexandria database.

Computed properties:
Energy of formation in meV/atom: -108.4

a b c (Å): 6.8384 6.8384 5.5616
angles (deg): 90.00 90.00 90.00
Space group I-42d (No. 122)
Asymmetric unit:
Nb 0.2336 0.7500 0.1250 [8 per cell]
Cu 0.0000 0.0000 0.5000 [4 per cell]
P 0.0000 0.0000 0.0000 [4 per cell]



| no. | spin magnetization (μB per formula unit) | D(E_F) (states/eV/f.u.) |
| --- | --- | --- |
| 1 | 0.13 | 0.00 |
| 2 | 0.93 | 7.87 |
| 3 | 0.19 | 11.11 |
| 4 | 0.00 | 2.94 |
| 5 | 0.00 | 5.08 |
| 6 | 0.00 | 1.12 |
| 7 | 0.00 | 7.76 |
| 8 | 6.19 | 27.48 |
| 9 | 0.00 | 3.33 |
| 10 | 0.00 | 2.66 |
| 11 | 0.00 | 0.62 |
| 12 | 0.00 | 1.04 |